# 1
Na2CrSi2 | PBE | relaxed

Output
The value obtained for the total energy is -43.64 eV for the cell shown. Its calculated volume is 206.81 Å³ per cell.

```
data_Na2CrSi2
_space_group_name_H-M_alt 'P 4/m b m'
_space_group_IT_number 127
_space_group_name_Hall '-P 4 2ab'
_cell_length_a 6.532
_cell_length_b 6.532
_cell_length_c 4.847
_cell_angle_alpha 90.00
_cell_angle_beta 90.00
_cell_angle_gamma 90.00
loop_
_atom_site_label
_atom_site_type_symbol
_atom_site_fract_x
_atom_site_fract_y
_atom_site_fract_z
Na1 Na 0.176 0.324 0.000
Cr1 Cr 0.000 0.000 0.500
Si1 Si 0.127 0.627 0.500
```

***

# 2
NaCrSi2 | PBE | relaxed

Output
The value obtained for the total energy is -79.88 eV for the cell shown. Its calculated volume is 389.12 Å³ per cell.

```
data_NaCrSi2
_space_group_name_H-M_alt 'I -4 2 d'
_space_group_IT_number 122
_space_group_name_Hall 'I -4 2bw'
_cell_length_a 4.939
_cell_length_b 4.939
_cell_length_c 15.953
_cell_angle_alpha 90.00
_cell_angle_beta 90.00
_cell_angle_gamma 90.00
loop_
_atom_site_label
_atom_site_type_symbol
_atom_site_fract_x
_atom_site_fract_y
_atom_site_fract_z
Na1 Na 0.000 0.000 0.000
Cr1 Cr 0.000 0.000 0.500
Si1 Si 0.002 0.250 0.625
```

***

# 3
NaCr3Si | PBE | relaxed

Output
The value obtained for the total energy is -25.41 eV for the cell shown. The calculation puts the distance to the lowest polymorph of the same formula at 1131.0 meV/atom. Its calculated volume is 112.50 Å³ per cell.

```
data_NaCr3Si
_space_group_name_H-M_alt 'P m -3 m'
_space_group_IT_number 221
_space_group_name_Hall '-P 4 2 3'
_cell_length_a 4.827
_cell_length_b 4.827
_cell_length_c 4.827
_cell_angle_alpha 90.00
_cell_angle_beta 90.00
_cell_angle_gamma 90.00
loop_
_atom_site_label
_atom_site_type_symbol
_atom_site_fract_x
_atom_site_fract_y
_atom_site_fract_z
Na1 Na 0.000 0.000 0.000
Cr1 Cr 0.000 0.000 0.500
Si1 Si 0.500 0.500 0.500
```

***

# 4
NaTa2CrSi | PBE | relaxed

Output
The value obtained for the total energy is -32.94 eV for the cell shown. The calculation puts the distance to the lowest polymorph of the same formula at 0.0 meV/atom. Its calculated volume is 101.72 Å³ per cell.

```
data_NaTa2CrSi
_space_group_name_H-M_alt 'P 4/m m m'
_space_group_IT_number 123
_space_group_name_Hall '-P 4 2'
_cell_length_a 4.545
_cell_length_b 4.545
_cell_length_c 4.925
_cell_angle_alpha 90.00
_cell_angle_beta 90.00
_cell_angle_gamma 90.00
loop_
_atom_site_label
_atom_site_type_symbol
_atom_site_fract_x
_atom_site_fract_y
_atom_site_fract_z
Na1 Na 0.000 0.000 0.000
Ta1 Ta 0.000 0.500 0.500
Cr1 Cr 0.000 0.000 0.500
Si1 Si 0.500 0.500 0.000
```

***

# 5
NaTa2CrSi | PBE | relaxed

Output
The value obtained for the total energy is -32.68 eV for the cell shown. The calculation puts the distance to the lowest polymorph of the same formula at 51.8 meV/atom. Its calculated volume is 103.60 Å³ per cell.

```
data_NaTa2CrSi
_space_group_name_H-M_alt 'P 4/m m m'
_space_group_IT_number 123
_space_group_name_Hall '-P 4 2'
_cell_length_a 4.718
_cell_length_b 4.718
_cell_length_c 4.654
_cell_angle_alpha 90.00
_cell_angle_beta 90.00
_cell_angle_gamma 90.00
loop_
_atom_site_label
_atom_site_type_symbol
_atom_site_fract_x
_atom_site_fract_y
_atom_site_fract_z
Na1 Na 0.000 0.000 0.000
Ta1 Ta 0.000 0.500 0.500
Cr1 Cr 0.500 0.500 0.000
Si1 Si 0.000 0.000 0.500
```

***

# 6
NaTaCrSi2 | PBE | relaxed

Output
The value obtained for the total energy is -21.64 eV for the cell shown. Its calculated volume is 95.58 Å³ per cell.

```
data_NaTaCrSi2
_space_group_name_H-M_alt 'P 4/m m m'
_space_group_IT_number 123
_space_group_name_Hall '-P 4 2'
_cell_length_a 4.495
_cell_length_b 4.495
_cell_length_c 4.731
_cell_angle_alpha 90.00
_cell_angle_beta 90.00
_cell_angle_gamma 90.00
loop_
_atom_site_label
_atom_site_type_symbol
_atom_site_fract_x
_atom_site_fract_y
_atom_site_fract_z
Na1 Na 0.000 0.000 0.000
Ta1 Ta 0.000 0.000 0.500
Cr1 Cr 0.500 0.500 0.500
Si1 Si 0.000 0.500 0.000
```

***

# 7
NaCrSi2Tc | PBE | relaxed

Output
The value obtained for the total energy is -27.99 eV for the cell shown. Its calculated volume is 111.25 Å³ per cell.

```
data_NaCrSi2Tc
_space_group_name_H-M_alt 'P 4/m m m'
_space_group_IT_number 123
_space_group_name_Hall '-P 4 2'
_cell_length_a 4.598
_cell_length_b 4.598
_cell_length_c 5.262
_cell_angle_alpha 90.00
_cell_angle_beta 90.00
_cell_angle_gamma 90.00
loop_
_atom_site_label
_atom_site_type_symbol
_atom_site_fract_x
_atom_site_fract_y
_atom_site_fract_z
Na1 Na 0.000 0.000 0.000
Cr1 Cr 0.500 0.500 0.000
Si1 Si 0.000 0.500 0.500
Tc1 Tc 0.000 0.000 0.500
```

***

# 8
Na2CrSiTc | PBE | relaxed

Output
The value obtained for the total energy is -20.28 eV for the cell shown. Its calculated volume is 124.75 Å³ per cell.

```
data_Na2CrSiTc
_space_group_name_H-M_alt 'P 4/m m m'
_space_group_IT_number 123
_space_group_name_Hall '-P 4 2'
_cell_length_a 5.473
_cell_length_b 5.473
_cell_length_c 4.165
_cell_angle_alpha 90.00
_cell_angle_beta 90.00
_cell_angle_gamma 90.00
loop_
_atom_site_label
_atom_site_type_symbol
_atom_site_fract_x
_atom_site_fract_y
_atom_site_fract_z
Na1 Na 0.000 0.500 0.000
Cr1 Cr 0.000 0.000 0.500
Si1 Si 0.500 0.500 0.500
Tc1 Tc 0.000 0.000 0.000
```

***

# 9
Na2CrSiTe4 | PBE | relaxed

Output
The value obtained for the total energy is -132.65 eV for the cell shown. Its calculated volume is 841.86 Å³ per cell.

```
data_Na2CrSiTe4
_space_group_name_H-M_alt 'I m m a'
_space_group_IT_number 74
_space_group_name_Hall '-I 2b 2'
_cell_length_a 8.385
_cell_length_b 8.454
_cell_length_c 11.876
_cell_angle_alpha 90.00
_cell_angle_beta 90.00
_cell_angle_gamma 90.00
loop_
_atom_site_label
_atom_site_type_symbol
_atom_site_fract_x
_atom_site_fract_y
_atom_site_fract_z
Na1 Na 0.000 0.000 0.000
Na2 Na 0.250 0.250 0.250
Cr1 Cr 0.000 0.000 0.500
Si1 Si 0.250 0.250 0.750
Te1 Te 0.000 0.022 0.732
Te2 Te 0.218 0.250 0.514
```

***

# 10
Na2VCrSi | PBE | relaxed

Output
The value obtained for the total energy is -20.02 eV for the cell shown. Its calculated volume is 122.43 Å³ per cell.

```
data_Na2VCrSi
_space_group_name_H-M_alt 'P 4/m m m'
_space_group_IT_number 123
_space_group_name_Hall '-P 4 2'
_cell_length_a 5.304
_cell_length_b 5.304
_cell_length_c 4.352
_cell_angle_alpha 90.00
_cell_angle_beta 90.00
_cell_angle_gamma 90.00
loop_
_atom_site_label
_atom_site_type_symbol
_atom_site_fract_x
_atom_site_fract_y
_atom_site_fract_z
Na1 Na 0.000 0.500 0.000
V1 V 0.000 0.000 0.500
Cr1 Cr 0.000 0.000 0.000
Si1 Si 0.500 0.500 0.500
```

***

# 11
NaCr3Sn | PBE | relaxed

Output
The value obtained for the total energy is -28.43 eV for the cell shown. The calculation puts the distance to the lowest polymorph of the same formula at 0.0 meV/atom. The calculation puts the calculated formation energy at 1.15 eV per atom. Its calculated volume is 145.96 Å³ per cell.

```
data_NaCr3Sn
_space_group_name_H-M_alt 'P m -3 m'
_space_group_IT_number 221
_space_group_name_Hall '-P 4 2 3'
_cell_length_a 5.265
_cell_length_b 5.265
_cell_length_c 5.265
_cell_angle_alpha 90.00
_cell_angle_beta 90.00
_cell_angle_gamma 90.00
loop_
_atom_site_label
_atom_site_type_symbol
_atom_site_fract_x
_atom_site_fract_y
_atom_site_fract_z
Na1 Na 0.000 0.000 0.000
Cr1 Cr 0.000 0.500 0.500
Sn1 Sn 0.500 0.500 0.500
```

***

# 12
NaCr2Sn | PBE | relaxed

Output
The value obtained for the total energy is -84.69 eV for the cell shown. The calculation puts the calculated formation energy at 0.85 eV per atom. Its calculated volume is 387.59 Å³ per cell.

```
data_NaCr2Sn
_space_group_name_H-M_alt 'I -4 2 d'
_space_group_IT_number 122
_space_group_name_Hall 'I -4 2bw'
_cell_length_a 7.982
_cell_length_b 7.982
_cell_length_c 6.083
_cell_angle_alpha 90.00
_cell_angle_beta 90.00
_cell_angle_gamma 90.00
loop_
_atom_site_label
_atom_site_type_symbol
_atom_site_fract_x
_atom_site_fract_y
_atom_site_fract_z
Na1 Na 0.000 0.000 0.000
Cr1 Cr 0.216 0.250 0.625
Sn1 Sn 0.000 0.000 0.500
```

***

# 13
NaCr3Sn | PBE | relaxed

Output
The value obtained for the total energy is -25.73 eV for the cell shown. The calculation puts the distance to the lowest polymorph of the same formula at 541.4 meV/atom. The calculation puts the calculated formation energy at 1.69 eV per atom. Its calculated volume is 120.12 Å³ per cell.

```
data_NaCr3Sn
_space_group_name_H-M_alt 'P m -3 m'
_space_group_IT_number 221
_space_group_name_Hall '-P 4 2 3'
_cell_length_a 4.934
_cell_length_b 4.934
_cell_length_c 4.934
_cell_angle_alpha 90.00
_cell_angle_beta 90.00
_cell_angle_gamma 90.00
loop_
_atom_site_label
_atom_site_type_symbol
_atom_site_fract_x
_atom_site_fract_y
_atom_site_fract_z
Na1 Na 0.000 0.000 0.000
Cr1 Cr 0.000 0.000 0.500
Sn1 Sn 0.500 0.500 0.500
```

***

# 14
NaCr2Sn2 | PBE | relaxed

Output
The value obtained for the total energy is -54.20 eV for the cell shown. The calculation puts the distance to the lowest polymorph of the same formula at 91.1 meV/atom. The calculation puts the calculated formation energy at 0.29 eV per atom. Its calculated volume is 189.41 Å³ per cell.

```
data_NaCr2Sn2
_space_group_name_H-M_alt 'P 4/m b m'
_space_group_IT_number 127
_space_group_name_Hall '-P 4 2ab'
_cell_length_a 7.987
_cell_length_b 7.987
_cell_length_c 2.969
_cell_angle_alpha 90.00
_cell_angle_beta 90.00
_cell_angle_gamma 90.00
loop_
_atom_site_label
_atom_site_type_symbol
_atom_site_fract_x
_atom_site_fract_y
_atom_site_fract_z
Na1 Na 0.000 0.000 0.000
Cr1 Cr 0.092 0.408 0.000
Sn1 Sn 0.188 0.688 0.500
```

***

# 15
NaCr2Sn2 | PBE | relaxed

Output
The value obtained for the total energy is -55.11 eV for the cell shown. The calculation puts the distance to the lowest polymorph of the same formula at 0.0 meV/atom. The calculation puts the calculated formation energy at 0.20 eV per atom. Its calculated volume is 206.05 Å³ per cell.

```
data_NaCr2Sn2
_space_group_name_H-M_alt 'I 4/m m m'
_space_group_IT_number 139
_space_group_name_Hall '-I 4 2'
_cell_length_a 3.320
_cell_length_b 3.320
_cell_length_c 18.699
_cell_angle_alpha 90.00
_cell_angle_beta 90.00
_cell_angle_gamma 90.00
loop_
_atom_site_label
_atom_site_type_symbol
_atom_site_fract_x
_atom_site_fract_y
_atom_site_fract_z
Na1 Na 0.000 0.000 0.000
Cr1 Cr 0.000 0.500 0.250
Sn1 Sn 0.000 0.000 0.370
```

***

# 16
NaCrSn3 | PBE | relaxed

Output
The value obtained for the total energy is -18.01 eV for the cell shown. The calculation puts the distance to the lowest polymorph of the same formula at 857.2 meV/atom. The calculation puts the calculated formation energy at 0.99 eV per atom. Its calculated volume is 153.04 Å³ per cell.

```
data_NaCrSn3
_space_group_name_H-M_alt 'P m -3 m'
_space_group_IT_number 221
_space_group_name_Hall '-P 4 2 3'
_cell_length_a 5.349
_cell_length_b 5.349
_cell_length_c 5.349
_cell_angle_alpha 90.00
_cell_angle_beta 90.00
_cell_angle_gamma 90.00
loop_
_atom_site_label
_atom_site_type_symbol
_atom_site_fract_x
_atom_site_fract_y
_atom_site_fract_z
Na1 Na 0.000 0.000 0.000
Cr1 Cr 0.500 0.500 0.500
Sn1 Sn 0.000 0.000 0.500
```

***

# 17
NaCr2Sn2 | PBE | relaxed

Output
The value obtained for the total energy is -53.10 eV for the cell shown. The calculation puts the distance to the lowest polymorph of the same formula at 200.4 meV/atom. The calculation puts the calculated formation energy at 0.40 eV per atom. Its calculated volume is 211.85 Å³ per cell.

```
data_NaCr2Sn2
_space_group_name_H-M_alt 'I 4/m m m'
_space_group_IT_number 139
_space_group_name_Hall '-I 4 2'
_cell_length_a 4.718
_cell_length_b 4.718
_cell_length_c 9.516
_cell_angle_alpha 90.00
_cell_angle_beta 90.00
_cell_angle_gamma 90.00
loop_
_atom_site_label
_atom_site_type_symbol
_atom_site_fract_x
_atom_site_fract_y
_atom_site_fract_z
Na1 Na 0.000 0.000 0.000
Cr1 Cr 0.000 0.000 0.406
Sn1 Sn 0.000 0.500 0.250
```

***

# 18
NaCrSn3 | PBE | relaxed

Output
The value obtained for the total energy is -22.29 eV for the cell shown. The calculation puts the distance to the lowest polymorph of the same formula at 0.0 meV/atom. The calculation puts the calculated formation energy at 0.13 eV per atom. Its calculated volume is 133.20 Å³ per cell.

```
data_NaCrSn3
_space_group_name_H-M_alt 'P m -3 m'
_space_group_IT_number 221
_space_group_name_Hall '-P 4 2 3'
_cell_length_a 5.107
_cell_length_b 5.107
_cell_length_c 5.107
_cell_angle_alpha 90.00
_cell_angle_beta 90.00
_cell_angle_gamma 90.00
loop_
_atom_site_label
_atom_site_type_symbol
_atom_site_fract_x
_atom_site_fract_y
_atom_site_fract_z
Na1 Na 0.000 0.000 0.000
Cr1 Cr 0.500 0.500 0.500
Sn1 Sn 0.000 0.500 0.500
```

***

# 19
NaCrSn2 | PBE | relaxed

Output
The value obtained for the total energy is -69.67 eV for the cell shown. The calculation puts the calculated formation energy at 0.38 eV per atom. Its calculated volume is 414.47 Å³ per cell.

```
data_NaCrSn2
_space_group_name_H-M_alt 'I -4 2 d'
_space_group_IT_number 122
_space_group_name_Hall 'I -4 2bw'
_cell_length_a 4.568
_cell_length_b 4.568
_cell_length_c 19.862
_cell_angle_alpha 90.00
_cell_angle_beta 90.00
_cell_angle_gamma 90.00
loop_
_atom_site_label
_atom_site_type_symbol
_atom_site_fract_x
_atom_site_fract_y
_atom_site_fract_z
Na1 Na 0.000 0.000 0.000
Cr1 Cr 0.000 0.000 0.500
Sn1 Sn 0.225 0.250 0.625
```

***

# 20
Na2CrTcSn | PBE | relaxed

Output
The value obtained for the total energy is -21.40 eV for the cell shown. The calculation puts the distance to the lowest polymorph of the same formula at 0.0 meV/atom. The calculation puts the calculated formation energy at 1.05 eV per atom. Its calculated volume is 129.97 Å³ per cell.

```
data_Na2CrTcSn
_space_group_name_H-M_alt 'P 4/m m m'
_space_group_IT_number 123
_space_group_name_Hall '-P 4 2'
_cell_length_a 5.386
_cell_length_b 5.386
_cell_length_c 4.481
_cell_angle_alpha 90.00
_cell_angle_beta 90.00
_cell_angle_gamma 90.00
loop_
_atom_site_label
_atom_site_type_symbol
_atom_site_fract_x
_atom_site_fract_y
_atom_site_fract_z
Na1 Na 0.000 0.500 0.000
Cr1 Cr 0.000 0.000 0.000
Tc1 Tc 0.000 0.000 0.500
Sn1 Sn 0.500 0.500 0.500
```